# HfThZr14, optimized geometry, DFT GGA-PBE
# * ΔH_f (0 K): 32 meV/atom
# * M_tot: 0.000 μB/f.u.
data_HfThZr14
_chemical_formula_sum 'Hf2 Th2 Zr28'
_cell_length_a 10.440
_cell_length_b 6.507
_cell_length_c 11.237
_cell_angle_alpha 90.00
_cell_angle_beta 90.00
_cell_angle_gamma 90.00
_symmetry_space_group_name_H-M 'A m m 2'
_symmetry_Int_Tables_number 38
_symmetry_space_group_name_Hall 'A 2 -2'
loop_
_atom_site_label
_atom_site_fract_x
_atom_site_fract_y
_atom_site_fract_z
Hf1 0.000 0.000 0.000
Th1 0.000 0.000 0.503
Zr1 0.000 0.242 0.756
Zr2 0.248 0.000 0.171
Zr3 0.255 0.244 0.920
Zr4 0.256 0.000 0.674
Zr5 0.500 0.000 0.006
Zr6 0.500 0.000 0.504
Zr7 0.500 0.247 0.253

# KCaTe, optimized geometry, DFT GGA-PBE
# * M_tot: 0.000 μB/f.u.
# * offset from the most stable computed form: 0.5838 eV per atom
data_KCaTe
_chemical_formula_sum 'K4 Ca4 Te4'
_cell_length_a 7.941
_cell_length_b 7.941
_cell_length_c 7.941
_cell_angle_alpha 90.00
_cell_angle_beta 90.00
_cell_angle_gamma 90.00
_symmetry_space_group_name_H-M 'F -4 3 m'
_symmetry_Int_Tables_number 216
_symmetry_space_group_name_Hall 'F -4 2 3'
loop_
_atom_site_label
_atom_site_fract_x
_atom_site_fract_y
_atom_site_fract_z
K1 0.000 0.000 0.000
Ca1 0.250 0.250 0.750
Te1 0.250 0.250 0.250

# LaErB12, optimized geometry, DFT GGA-PBE
# * ΔH_f (0 K): -465 meV/atom
# * M_tot: 0.000 μB/f.u.
data_LaErB12
_chemical_formula_sum 'La1 Er1 B12'
_cell_length_a 4.121
_cell_length_b 4.121
_cell_length_c 8.241
_cell_angle_alpha 90.00
_cell_angle_beta 90.00
_cell_angle_gamma 90.00
_symmetry_space_group_name_H-M 'P 4/m m m'
_symmetry_Int_Tables_number 123
_symmetry_space_group_name_Hall '-P 4 2'
loop_
_atom_site_label
_atom_site_fract_x
_atom_site_fract_y
_atom_site_fract_z
La1 0.000 0.000 0.000
Er1 0.000 0.000 0.500
B1 0.199 0.500 0.253
B2 0.500 0.500 0.101
B3 0.500 0.500 0.402

# CsCoAgCl6, optimized geometry, DFT GGA-PBE
# * E_tot: -3.227 eV per atom
# * M_tot: 1.128 μB/f.u.
data_CsCoAgCl6
_chemical_formula_sum 'Cs1 Co1 Ag1 Cl6'
_cell_length_a 6.5614
_cell_length_b 6.5614
_cell_length_c 7.5962
_cell_angle_alpha 90.00
_cell_angle_beta 90.00
_cell_angle_gamma 120.00
_symmetry_space_group_name_H-M 'P 3 1 2'
_symmetry_Int_Tables_number 149
_symmetry_space_group_name_Hall 'P 3 2'
loop_
_atom_site_label
_atom_site_fract_x
_atom_site_fract_y
_atom_site_fract_z
Cs1 0.0000 0.0000 0.0000
Co1 0.6667 0.3333 0.5000
Ag1 0.3333 0.6667 0.5000
Cl1 0.3932 0.0465 0.6720

# Na3Sm2ThS6, optimized geometry, DFT GGA-PBE
# * E_tot: -5.549 eV per atom
# * M_tot: 0.000 μB/f.u.
data_Na3Sm2ThS6
_chemical_formula_sum 'Na6 Sm4 Th2 S12'
_cell_length_a 17.836
_cell_length_b 4.058
_cell_length_c 8.214
_cell_angle_alpha 90.00
_cell_angle_beta 104.06
_cell_angle_gamma 90.00
_symmetry_space_group_name_H-M 'C 1 2/m 1'
_symmetry_Int_Tables_number 12
_symmetry_space_group_name_Hall '-C 2y'
loop_
_atom_site_label
_atom_site_fract_x
_atom_site_fract_y
_atom_site_fract_z
Na1 0.000 0.000 0.000
Na2 0.169 0.500 0.332
Sm1 0.169 0.500 0.839
Th1 0.000 0.000 0.500
S1 0.003 0.500 0.742
S2 0.162 0.000 0.591
S3 0.170 0.000 0.076

# CaNb2PPb, optimized geometry, DFT GGA-PBE
# * ΔH_f (0 K): 236 meV/atom
# * M_tot: 0.000 μB/f.u.
data_CaNb2PPb
_chemical_formula_sum 'Ca1 Nb2 P1 Pb1'
_cell_length_a 4.714
_cell_length_b 4.714
_cell_length_c 5.661
_cell_angle_alpha 90.00
_cell_angle_beta 90.00
_cell_angle_gamma 90.00
_symmetry_space_group_name_H-M 'P 4/m m m'
_symmetry_Int_Tables_number 123
_symmetry_space_group_name_Hall '-P 4 2'
loop_
_atom_site_label
_atom_site_fract_x
_atom_site_fract_y
_atom_site_fract_z
Ca1 0.000 0.000 0.000
Nb1 0.000 0.500 0.500
P1 0.500 0.500 0.500
Pb1 0.500 0.500 0.000

# Pd8Pb2Au, optimized geometry, DFT GGA-PBE
# * ΔH_f (0 K): -173 meV/atom
# * M_tot: 0.000 μB/f.u.
# * offset from the most stable computed form: 0.0000 eV per atom
data_Pd8Pb2Au
_chemical_formula_sum 'Pd16 Pb4 Au2'
_cell_length_a 4.090
_cell_length_b 7.961
_cell_length_c 12.050
_cell_angle_alpha 90.00
_cell_angle_beta 90.00
_cell_angle_gamma 90.00
_symmetry_space_group_name_H-M 'I m m m'
_symmetry_Int_Tables_number 71
_symmetry_space_group_name_Hall '-I 2 2'
loop_
_atom_site_label
_atom_site_fract_x
_atom_site_fract_y
_atom_site_fract_z
Pd1 0.000 0.000 0.167
Pd2 0.000 0.248 0.000
Pd3 0.000 0.248 0.336
Pb1 0.000 0.500 0.160
Au1 0.000 0.500 0.500

# Y5Er4Tl4, optimized geometry, DFT GGA-PBE
# * ΔH_f (0 K): -275 meV/atom
# * M_tot: 0.000 μB/f.u.
data_Y5Er4Tl4
_chemical_formula_sum 'Y10 Er8 Tl8'
_cell_length_a 12.268
_cell_length_b 12.268
_cell_length_c 5.036
_cell_angle_alpha 90.00
_cell_angle_beta 90.00
_cell_angle_gamma 90.00
_symmetry_space_group_name_H-M 'I 4/m'
_symmetry_Int_Tables_number 87
_symmetry_space_group_name_Hall '-I 4'
loop_
_atom_site_label
_atom_site_fract_x
_atom_site_fract_y
_atom_site_fract_z
Y1 0.000 0.000 0.000
Y2 0.102 0.188 0.500
Er1 0.096 0.398 0.000
Tl1 0.101 0.764 0.000

# RbBaTmF6, optimized geometry, DFT GGA-PBE
# * E_tot: -5.781 eV per atom
# * M_tot: 0.047 μB/f.u.
data_RbBaTmF6
_chemical_formula_sum 'Rb4 Ba4 Tm4 F24'
_cell_length_a 8.164
_cell_length_b 8.422
_cell_length_c 11.214
_cell_angle_alpha 90.00
_cell_angle_beta 90.00
_cell_angle_gamma 90.00
_symmetry_space_group_name_H-M 'I m m a'
_symmetry_Int_Tables_number 74
_symmetry_space_group_name_Hall '-I 2b 2'
loop_
_atom_site_label
_atom_site_fract_x
_atom_site_fract_y
_atom_site_fract_z
Rb1 0.000 0.250 0.102
Ba1 0.000 0.000 0.500
Tm1 0.250 0.250 0.750
F1 0.000 0.250 0.370
F2 0.000 0.250 0.681
F3 0.215 0.073 0.882

# La4Nd5Th, optimized geometry, DFT GGA-PBE
# * ΔH_f (0 K): 27 meV/atom
# * M_tot: 0.000 μB/f.u.
data_La4Nd5Th
_chemical_formula_sum 'La8 Nd10 Th2'
_cell_length_a 26.538
_cell_length_b 3.683
_cell_length_c 7.353
_cell_angle_alpha 90.00
_cell_angle_beta 97.81
_cell_angle_gamma 90.00
_symmetry_space_group_name_H-M 'C 1 2/m 1'
_symmetry_Int_Tables_number 12
_symmetry_space_group_name_Hall '-C 2y'
loop_
_atom_site_label
_atom_site_fract_x
_atom_site_fract_y
_atom_site_fract_z
La1 0.097 0.000 0.290
La2 0.201 0.500 0.101
Nd1 0.000 0.500 0.500
Nd2 0.096 0.000 0.809
Nd3 0.200 0.500 0.600
Th1 0.000 0.500 0.000

# K2Bi5Au4, optimized geometry, DFT GGA-PBE
# * ΔH_f (0 K): -154 meV/atom
# * M_tot: 0.000 μB/f.u.
data_K2Bi5Au4
_chemical_formula_sum 'K4 Bi10 Au8'
_cell_length_a 12.690
_cell_length_b 6.903
_cell_length_c 9.434
_cell_angle_alpha 90.00
_cell_angle_beta 126.03
_cell_angle_gamma 90.00
_symmetry_space_group_name_H-M 'C 1 2/m 1'
_symmetry_Int_Tables_number 12
_symmetry_space_group_name_Hall '-C 2y'
loop_
_atom_site_label
_atom_site_fract_x
_atom_site_fract_y
_atom_site_fract_z
K1 0.197 0.000 0.139
Bi1 0.000 0.500 0.000
Bi2 0.022 0.258 0.343
Au1 0.214 0.000 0.800
Au2 0.242 0.000 0.522

# SrGe3F, optimized geometry, DFT GGA-PBE
# * M_tot: 0.000 μB/f.u.
# * offset from the most stable computed form: 0.0000 eV per atom
data_SrGe3F
_chemical_formula_sum 'Sr1 Ge3 F1'
_cell_length_a 4.774
_cell_length_b 4.774
_cell_length_c 4.774
_cell_angle_alpha 90.00
_cell_angle_beta 90.00
_cell_angle_gamma 90.00
_symmetry_space_group_name_H-M 'P m -3 m'
_symmetry_Int_Tables_number 221
_symmetry_space_group_name_Hall '-P 4 2 3'
loop_
_atom_site_label
_atom_site_fract_x
_atom_site_fract_y
_atom_site_fract_z
Sr1 0.000 0.000 0.000
Ge1 0.000 0.500 0.500
F1 0.500 0.500 0.500

What did the eighth record say?
# Y5Er4Tl4, optimized geometry, DFT GGA-PBE
# * ΔH_f (0 K): -275 meV/atom
# * M_tot: 0.000 μB/f.u.
data_Y5Er4Tl4
_chemical_formula_sum 'Y10 Er8 Tl8'
_cell_length_a 12.268
_cell_length_b 12.268
_cell_length_c 5.036
_cell_angle_alpha 90.00
_cell_angle_beta 90.00
_cell_angle_gamma 90.00
_symmetry_space_group_name_H-M 'I 4/m'
_symmetry_Int_Tables_number 87
_symmetry_space_group_name_Hall '-I 4'
loop_
_atom_site_label
_atom_site_fract_x
_atom_site_fract_y
_atom_site_fract_z
Y1 0.000 0.000 0.000
Y2 0.102 0.188 0.500
Er1 0.096 0.398 0.000
Tl1 0.101 0.764 0.000

Q: The highest M_tot belongs to which entry?
A: CsCoAgCl6

Please write out number 2 again, unchanged.
# KCaTe, optimized geometry, DFT GGA-PBE
# * M_tot: 0.000 μB/f.u.
# * offset from the most stable computed form: 0.5838 eV per atom
data_KCaTe
_chemical_formula_sum 'K4 Ca4 Te4'
_cell_length_a 7.941
_cell_length_b 7.941
_cell_length_c 7.941
_cell_angle_alpha 90.00
_cell_angle_beta 90.00
_cell_angle_gamma 90.00
_symmetry_space_group_name_H-M 'F -4 3 m'
_symmetry_Int_Tables_number 216
_symmetry_space_group_name_Hall 'F -4 2 3'
loop_
_atom_site_label
_atom_site_fract_x
_atom_site_fract_y
_atom_site_fract_z
K1 0.000 0.000 0.000
Ca1 0.250 0.250 0.750
Te1 0.250 0.250 0.250